The following is a PBE calculation of Tm6AlTl after structural relaxation, from the Alexandria database.

Calculated values
Crystal system: tetragonal
Relative energy among the computed polymorphs (meV/atom): 0
ΔE_f (eV/atom): -0.182

a b c (Å): 4.736 4.736 9.492
angles (deg): 90.00 90.00 90.00
Fractional coordinates of all 8 atoms:
Tm 0.000 0.000 0.000
Tm 0.000 0.000 0.500
Tm 0.000 0.500 0.241
Tm 0.000 0.500 0.759
Tm 0.500 0.000 0.241
Tm 0.500 0.000 0.759
Al 0.500 0.500 0.000
Tl 0.500 0.500 0.500